1.
VASP calculation (PBE) on an optimized crystal structure of AcPrZnGe.

The structure in POSCAR format:
```
AcPrZnGe
1.0
4.4642 0.0000 0.0000
0.0000 4.2574 0.0000
-2.2321 0.0000 5.9272
Ac Pr Zn Ge
1 1 1 1
Direct
0.7437 0.5000 0.4874
0.0301 0.0000 0.0602
0.3304 0.0000 0.6608
0.4654 0.5000 0.9308
```

Results
The value obtained for the final energy is -16.94 eV per formula unit.

2.
VASP calculation (PBE) on an optimized crystal structure of PaInAg2.

The structure in POSCAR format:
```
PaInAg2
1.0
-2.1453 -1.0201 -2.1247
-0.9012 -2.2998 2.0141
-5.7689 5.1827 3.3367
Pa Ag In
1 2 1
Direct
0.5000 0.5000 0.5000
0.0000 0.0000 0.7667
0.0000 0.0000 0.2333
0.5000 0.5000 0.0000
```

Results
The value obtained for the final energy is -17.51 eV per formula unit.

3.
VASP calculation (PBE) on an optimized crystal structure of Tm2TiPt.

The structure in POSCAR format:
```
Tm2TiPt
1.0
3.4706 0.0000 0.0000
0.0000 3.4706 0.0000
0.0000 0.0000 7.2565
Tm Pt Ti
2 1 1
Direct
0.0000 0.0000 0.7716
0.0000 0.0000 0.2284
0.5000 0.5000 0.0000
0.5000 0.5000 0.5000
```

Results
The value obtained for the final energy is -24.97 eV per formula unit.

4.
VASP calculation (PBE) on an optimized crystal structure of SbPbI2O.

The structure in POSCAR format:
```
SbPbI2O
1.0
-0.7443 6.1878 -0.0090
-4.9566 -0.5908 3.7318
3.6307 0.4438 4.8926
Pb I O Sb
1 2 1 1
Direct
0.0000 0.0000 0.0000
0.0000 0.5000 0.0000
0.5000 0.0000 0.0000
0.5000 0.5000 0.5000
0.0000 0.0000 0.5000
```

Results
The calculation puts the formation energy (no corrections) at 0.77 eV per atom.